No. 1
CoTcB | GGA-PBE | relaxed

ΔE to the lowest computed polymorph ... 0 meV per atom
Space-group type ... F-43m

abc: 3.683 3.683 3.683
angles: 60.00 60.00 60.00
Fractional coordinates of all 3 atoms:
Co  0.000  0.000  0.000
B  0.250  0.250  0.250
Tc  0.750  0.750  0.750

No. 2
CoTc2B | GGA-PBE | relaxed

DFT total energy ... -8.20 eV/atom
Space-group type ... F-43m

abc: 4.074 4.074 4.074
angles: 60.00 60.00 60.00
Site moments in Bohr magnetons follow the coordinates.
Fractional coordinates of all 4 atoms:
Tc  0.750  0.750  0.750  -0.20
Tc  0.000  0.000  0.000  0.78
Co  0.250  0.250  0.250  1.23
B  0.500  0.500  0.500  -0.01

No. 3
ZrCoTcB | GGA-PBE | relaxed

ΔE to the lowest computed polymorph ... 0 meV per atom
Space-group type ... F-43m

abc: 4.199 4.199 4.199
angles: 60.00 60.00 60.00
Site moments in Bohr magnetons follow the coordinates.
Fractional coordinates of all 4 atoms:
Tc  0.250  0.250  0.250  0.15
Co  0.750  0.750  0.750  0.14
B  0.000  0.000  0.000  0.00
Zr  0.500  0.500  0.500  0.01

No. 4
ZrCoTcB | GGA-PBE | relaxed

ΔE to the lowest computed polymorph ... 243 meV per atom
Space-group type ... F-43m

abc: 4.280 4.280 4.280
angles: 60.00 60.00 60.00
Site moments in Bohr magnetons follow the coordinates.
Fractional coordinates of all 4 atoms:
Co  0.750  0.750  0.750  1.73
B  0.000  0.000  0.000  0.00
Tc  0.500  0.500  0.500  0.93
Zr  0.250  0.250  0.250  0.17

No. 5
CoBTe2 | GGA-PBE | relaxed

DFT total energy ... -3.55 eV/atom
Space-group type ... F-43m

abc: 4.708 4.708 4.708
angles: 60.00 60.00 60.00
Fractional coordinates of all 4 atoms:
Co  0.250  0.250  0.250
B  0.500  0.500  0.500
Te  0.000  0.000  0.000
Te  0.750  0.750  0.750

No. 6
CoB2Te | GGA-PBE | relaxed

DFT total energy ... -4.33 eV/atom
Space-group type ... F-43m

abc: 4.152 4.152 4.152
angles: 60.00 60.00 60.00
Fractional coordinates of all 4 atoms:
Te  0.500  0.500  0.500
B  0.000  0.000  0.000
Co  0.250  0.250  0.250
B  0.750  0.750  0.750

No. 7
ThCo12B6 | GGA-PBE | relaxed

DFT total energy ... -7.36 eV/atom
Space-group type ... R-3m

abc: 5.980 5.980 5.980
angles: 104.11 104.11 104.11
Site moments in Bohr magnetons follow the coordinates.
Fractional coordinates of all 19 atoms:
B  0.231  0.672  0.231  -0.04
Co  0.134  0.866  0.500  0.32
Co  0.457  0.186  0.457  0.90
B  0.672  0.231  0.231  -0.04
Th  0.000  0.000  0.000  -0.13
B  0.328  0.769  0.769  -0.04
Co  0.500  0.134  0.866  0.37
Co  0.814  0.543  0.543  0.89
B  0.769  0.328  0.769  -0.04
Co  0.866  0.500  0.134  0.35
Co  0.186  0.457  0.457  0.89
B  0.769  0.769  0.328  -0.04
Co  0.134  0.500  0.866  0.35
B  0.231  0.231  0.672  -0.04
Co  0.866  0.134  0.500  0.32
Co  0.543  0.814  0.543  0.90
Co  0.500  0.866  0.134  0.37
Co  0.457  0.457  0.186  0.91
Co  0.543  0.543  0.814  0.91

No. 8
TlCoB2 | GGA-PBE | relaxed

DFT total energy ... -3.89 eV/atom
Space-group type ... F-43m

abc: 4.145 4.145 4.145
angles: 60.00 60.00 60.00
Fractional coordinates of all 4 atoms:
Tl  0.500  0.500  0.500
B  0.750  0.750  0.750
Co  0.250  0.250  0.250
B  0.000  0.000  0.000

No. 9
TlCoB | GGA-PBE | relaxed

ΔE to the lowest computed polymorph ... 0 meV per atom
Space-group type ... F-43m

abc: 3.893 3.893 3.893
angles: 60.00 60.00 60.00
Fractional coordinates of all 3 atoms:
Tl  0.750  0.750  0.750
B  0.000  0.000  0.000
Co  0.250  0.250  0.250

No. 10
Tl2CoB | GGA-PBE | relaxed

DFT total energy ... -3.15 eV/atom
Space-group type ... F-43m

abc: 4.696 4.696 4.696
angles: 60.00 60.00 60.00
Fractional coordinates of all 4 atoms:
Tl  0.000  0.000  0.000
Co  0.250  0.250  0.250
Tl  0.750  0.750  0.750
B  0.500  0.500  0.500